Material: Cs2KGeI6
Method: DFT, PBE
State: optimized geometry

V, Å³/cell: 492.6
N(E_F), states/eV per cell: 10.723
Crystal system: cubic
Uncorrected energy, Ha/atom: -0.0964

a b c (Å): 8.865 8.865 8.865
angles (deg): 60.00 60.00 90.00
Fractional positions:
I: 0.770 0.770 0.460
I: 0.230 0.770 0.000
I: 0.230 0.230 0.540
I: 0.770 0.770 0.000
I: 0.770 0.230 0.000
I: 0.230 0.230 0.000
Cs: 0.250 0.750 0.500
Cs: 0.750 0.250 0.500
K: 0.500 0.500 0.000
Ge: 0.000 0.000 0.000